(1)
## MgCr2Si (PBEsol)

Data for a geometry-optimized MgCr2Si structure.

Lattice parameters (Å, degrees): 2.947 2.947 6.074 90.00 90.00 90.00
Element x y z (fractional)
Mg 0.000 0.000 0.000
Cr 0.000 0.000 0.515
Cr 0.500 0.500 0.712
Si 0.500 0.500 0.300

Properties
Its electronic total energy is -27.7 eV/cell. The value obtained for the raw formation energy is 0.3 eV per formula unit. As for the space-group type: P4mm, No. 99.

***

(2)
## Mg2CrSi (PBEsol)

Data for a geometry-optimized Mg2CrSi structure.

Lattice parameters (Å, degrees): 3.121 3.121 6.882 90.00 90.00 90.00
Element x y z (fractional)
Mg 0.000 0.000 0.000
Mg 0.500 0.500 0.328
Cr 0.500 0.500 0.736
Si 0.000 0.000 0.607

Properties
Its electronic total energy is -19.1 eV/cell. The value obtained for the raw formation energy is 0.4 eV per formula unit. As for the space-group type: P4mm, No. 99.

***

(3)
## Mg2CrSi (PBEsol)

Data for a geometry-optimized Mg2CrSi structure.

Lattice parameters (Å, degrees): 5.106 5.106 5.106 141.01 129.91 65.24
Element x y z (fractional)
Mg 0.000 0.000 0.000
Mg 0.724 0.224 0.500
Cr 0.457 0.457 0.000
Si 0.262 0.762 0.500

Properties
Its electronic total energy is -18.6 eV/cell. The value obtained for the raw formation energy is 0.8 eV per formula unit. As for the space-group type: Imm2, No. 44.